4
Lattice="1.903 1.099 7.535 -1.903 1.099 7.535 0.000 -2.198 7.535" Properties=species:S:1:pos:R:3 comment="Tm2CoBr | Alexandria | PBE | relaxed" rho_g_cm3=8.371 dft_energy_ev_per_cell=-20.6 e_above_lowest_polymorph_mev_per_atom=0 e_form_raw_mev_per_atom=-727 pbc="T T T"
Tm 0.000 0.000 5.189
Tm 0.000 0.000 17.417
Co 0.000 0.000 11.303
Br 0.000 0.000 0.000

***

10
Lattice="7.221 0.000 0.000 0.000 7.221 0.000 0.000 0.000 2.978" Properties=species:S:1:pos:R:3 comment="Ta2Fe2Hg | Alexandria | PBE | relaxed" rho_g_cm3=14.420 dft_energy_ev_per_cell=-80.8 ef_mev_per_atom=105 pbc="T T T"
Ta 1.129 2.481 0.000
Ta 2.481 6.092 0.000
Ta 4.739 1.129 0.000
Ta 6.092 4.739 0.000
Fe 0.967 4.577 1.489
Fe 2.644 0.967 1.489
Fe 4.577 6.254 1.489
Fe 6.254 2.644 1.489
Hg 0.000 0.000 1.489
Hg 3.610 3.610 1.489